First-principles (PBE) data for an optimized crystal structure of TbTlHg3, as listed in Alexandria via LeMat-Bulk.

Cell lengths 5.6624, 6.2691, 8.6122 Å; angles 111.34, 90.00, 90.00 degrees
With the nearest neighbours (Å) after each atom.
Fractional positions:
Tl1 0.2500 0.3873 0.7747  2 Tb 3.32, 4 Hg 3.33
Hg1 0.0000 0.0000 0.0000  2 Hg 2.83
Hg2 0.7500 0.5982 0.6856  3 Tb 3.05-3.24, 4 Hg 3.07-3.27, 2 Tl 3.33
Tl2 0.7500 0.6127 0.2253  2 Tb 3.32, 4 Hg 3.33
Hg3 0.2500 0.4018 0.3144  3 Tb 3.05-3.24, 4 Hg 3.07-3.27, 2 Tl 3.33
Tb1 0.2500 0.8193 0.6386  8 Hg 3.05-3.24, 2 Tl 3.32
Tb2 0.7500 0.1807 0.3614  8 Hg 3.05-3.24, 2 Tl 3.32
Hg4 0.5000 0.0000 0.0000  2 Hg 2.83
Hg5 0.2500 0.9126 0.3144  3 Tb 3.05-3.24, 4 Hg 3.07-3.27, 2 Tl 3.33
Hg6 0.7500 0.0874 0.6856  3 Tb 3.05-3.24, 4 Hg 3.07-3.27, 2 Tl 3.33

Summary:
ΔE to the lowest computed polymorph in eV per formula unit: 0.25
SG: Cmcm
Magnetic moment in μB/f.u.: 0.0
Energy of formation from the pure elements in eV per atom: -0.1534


First-principles (PBE) data for an optimized crystal structure of Tb3Tl2Hg3, as listed in Alexandria via LeMat-Bulk.

Cell lengths 6.3434, 9.0808, 9.0808 Å; angles 120.00, 90.00, 90.00 degrees
With the nearest neighbours (Å) after each atom.
Fractional positions:
Tl1 0.5000 0.6667 0.3333  2 Tl 3.17, 6 Hg 3.44, 6 Tb 3.44-3.45
Hg1 0.2500 0.3279 0.0000  5 Tb 2.97-3.17
Hg2 0.7500 0.0000 0.6721  5 Tb 2.97-3.17
Hg3 0.7500 0.6721 0.0000  5 Tb 2.97-3.17
Tl2 0.5000 0.3333 0.6667  2 Tl 3.17, 6 Hg 3.44, 6 Tb 3.44-3.45
Hg4 0.2500 0.6721 0.6721  5 Tb 2.97-3.17
Hg5 0.2500 0.0000 0.3279  5 Tb 2.97-3.17
Tl3 0.0000 0.3333 0.6667  2 Tl 3.17, 6 Hg 3.44, 6 Tb 3.44-3.45
Tb1 0.2500 0.6735 0.0000  5 Hg 2.97-3.17
Tb2 0.7500 0.3265 0.0000  5 Hg 2.97-3.17
Hg6 0.7500 0.3279 0.3279  5 Tb 2.97-3.17
Tb3 0.2500 0.0000 0.6735  5 Hg 2.97-3.17
Tl4 0.0000 0.6667 0.3333  2 Tl 3.17, 6 Hg 3.44, 6 Tb 3.44-3.45
Tb4 0.7500 0.0000 0.3265  5 Hg 2.97-3.17
Tb5 0.7500 0.6735 0.6735  5 Hg 2.97-3.17
Tb6 0.2500 0.3265 0.3265  5 Hg 2.97-3.17

Summary:
SG: P6_3/mcm
Magnetic moment in μB/f.u.: 0.0
Energy of formation from the pure elements in eV per atom: -0.2792


First-principles (PBE) data for an optimized crystal structure of Tb8Tl2Hg, as listed in Alexandria via LeMat-Bulk.

Cell lengths 5.2319, 7.0505, 9.3990 Å; angles 98.27, 106.16, 90.00 degrees
With the nearest neighbours (Å) after each atom.
Fractional positions:
Tl1 0.7941 0.2745 0.5881  7 Tb 3.10-3.28
Tb1 0.0291 0.7445 0.0581  1 Tl 3.22, 2 Hg 3.26, 3 Tb 3.45-3.51
Tb2 0.4105 0.5571 0.8211  1 Hg 3.29, 8 Tb 3.42-3.64
Tb3 0.8155 0.7194 0.6310  3 Tl 3.10-3.28, 3 Tb 3.40-3.42
Tb4 0.9709 0.2555 0.9419  1 Tl 3.22, 2 Hg 3.26, 3 Tb 3.45-3.51
Hg1 0.5000 0.0000 0.0000  8 Tb 3.00-3.29
Tb5 0.6610 0.9413 0.3220  1 Hg 3.00, 3 Tl 3.10-3.19
Tb6 0.1845 0.2806 0.3690  3 Tl 3.10-3.28, 3 Tb 3.40-3.42
Tb7 0.5895 0.4429 0.1789  1 Hg 3.29, 8 Tb 3.42-3.64
Tl2 0.2059 0.7255 0.4119  7 Tb 3.10-3.28
Tb8 0.3390 0.0587 0.6780  1 Hg 3.00, 3 Tl 3.10-3.19

Summary:
ΔE to the lowest computed polymorph in eV per formula unit: 0.35
SG: C2/m
Magnetic moment in μB/f.u.: 0.0
Energy of formation from the pure elements in eV per atom: -0.1764


First-principles (PBE) data for an optimized crystal structure of Tb4Tl5Hg2, as listed in Alexandria via LeMat-Bulk.

Cell lengths 3.6591, 8.3829, 9.8732 Å; angles 91.01, 90.00, 90.00 degrees
With the nearest neighbours (Å) after each atom.
Fractional positions:
Tl1 0.0000 0.4558 0.6604  1 Hg 3.11, 4 Tb 3.23-3.39, 2 Tl 3.27-3.37
Tb1 0.5000 0.2354 0.3969  4 Hg 3.20-3.27, 4 Tl 3.23-3.34
Tl2 0.0000 0.1336 0.1259  1 Hg 3.07, 4 Tb 3.26-3.34, 2 Tl 3.32-3.33
Tl3 0.0000 0.5442 0.3396  1 Hg 3.11, 4 Tb 3.23-3.39, 2 Tl 3.27-3.37
Tl4 0.0000 0.8664 0.8741  1 Hg 3.07, 4 Tb 3.26-3.34, 2 Tl 3.32-3.33
Tb2 0.5000 0.2173 0.8631  2 Hg 3.13, 8 Tl 3.26-3.47
Hg1 0.0000 0.0866 0.6291  1 Hg 2.91, 2 Tl 3.07-3.11, 4 Tb 3.13-3.20
Tl5 0.0000 0.5000 0.0000  4 Tb 3.27, 6 Tl 3.33-3.66
Tb3 0.5000 0.7646 0.6031  4 Hg 3.20-3.27, 4 Tl 3.23-3.34
Tb4 0.5000 0.7827 0.1369  2 Hg 3.13, 8 Tl 3.26-3.47
Hg2 0.0000 0.9134 0.3709  1 Hg 2.91, 2 Tl 3.07-3.11, 4 Tb 3.13-3.20

Summary:
SG: P2/m
Magnetic moment in μB/f.u.: 0.0
Energy of formation from the pure elements in eV per atom: -0.3064


First-principles (PBE) data for an optimized crystal structure of Tb2TlHg, as listed in Alexandria via LeMat-Bulk.

Cell lengths 3.7631, 3.7631, 9.7324 Å; angles 78.85, 78.85, 60.00 degrees
With the nearest neighbours (Å) after each atom.
Fractional positions:
Tb1 0.2531 0.2531 0.2408  3 Hg 3.16, 3 Tl 3.28
Hg1 0.6670 0.6670 0.9991  6 Tb 3.13-3.16
Tb2 0.0797 0.0797 0.7610  3 Hg 3.13, 3 Tl 3.30
Tl1 0.5003 0.5003 0.4991  6 Tb 3.28-3.30

Summary:
SG: R3m
Magnetic moment in μB/f.u.: 0.0
Energy of formation from the pure elements in eV per atom: -0.2710


First-principles (PBE) data for an optimized crystal structure of Tb12Tl2Hg5, as listed in Alexandria via LeMat-Bulk.

Cell lengths 7.5610, 8.9016, 9.7509 Å; angles 96.28, 90.00, 115.13 degrees
With the nearest neighbours (Å) after each atom.
Fractional positions:
Hg1 0.6605 0.3210 0.8658  5 Tb 3.08-3.27
Tb1 0.9215 0.8430 0.1838  2 Tl 3.16, 1 Hg 3.19, 2 Tb 3.49
Hg2 0.2749 0.5498 0.6361  6 Tb 2.94-3.00
Tb2 0.5167 0.0334 0.2932  2 Hg 3.08-3.35, 2 Tl 3.27
Tl1 0.2845 0.0000 0.0000  6 Tb 3.16-3.27, 1 Tl 3.26, 2 Hg 3.45
Tb3 0.0785 0.1570 0.8162  2 Tl 3.16, 1 Hg 3.19, 2 Tb 3.49
Hg3 0.7251 0.4502 0.3639  6 Tb 2.94-3.00
Tb4 0.4324 0.3750 0.1379  3 Hg 2.94-3.27, 1 Tl 3.17
Tb5 0.5961 0.7171 0.4475  3 Hg 2.97-3.02
Tb6 0.1210 0.7171 0.4475  3 Hg 2.97-3.02
Tl2 0.7155 0.0000 0.0000  6 Tb 3.16-3.27, 1 Tl 3.26, 2 Hg 3.45
Hg4 0.0000 0.0000 0.5000  6 Tb 3.02-3.19
Tb7 0.5676 0.6250 0.8621  3 Hg 2.94-3.27, 1 Tl 3.17
Tb8 0.4833 0.9666 0.7068  2 Hg 3.08-3.35, 2 Tl 3.27
Hg5 0.3395 0.6790 0.1342  5 Tb 3.08-3.27
Tb9 0.0575 0.6250 0.8621  3 Hg 2.94-3.27, 1 Tl 3.17
Tb10 0.8790 0.2829 0.5525  3 Hg 2.97-3.02
Tb11 0.4039 0.2829 0.5525  3 Hg 2.97-3.02
Tb12 0.9425 0.3750 0.1379  3 Hg 2.94-3.27, 1 Tl 3.17

Summary:
SG: C2/m
Magnetic moment in μB/f.u.: 0.0
Energy of formation from the pure elements in eV per atom: -0.1294